P.
Below is a relaxed BaScRe2 crystal, with properties calculated at the PBE level.

```
data_BaScRe2
_chemical_formula_sum 'Ba2 Sc2 Re4'
_symmetry_space_group_name_H-M 'I m m m'
_symmetry_Int_Tables_number 71
_symmetry_space_group_name_Hall '-I 2 2'
_cell_length_a 3.125
_cell_length_b 4.936
_cell_length_c 10.279
_cell_angle_alpha 90.00
_cell_angle_beta 90.00
_cell_angle_gamma 90.00
loop_
_atom_site_label
_atom_site_fract_x
_atom_site_fract_y
_atom_site_fract_z
Ba1 0.000 0.000 0.000
Sc1 0.000 0.000 0.500
Re1 0.000 0.500 0.239
```

* V: 19.8 Å³/atom
* DOS at the Fermi energy: 1.241 states/eV/atom

Q.
Below is a relaxed BaScRe2 crystal, with properties calculated at the PBE level.

```
data_BaScRe2
_chemical_formula_sum 'Ba2 Sc2 Re4'
_symmetry_space_group_name_H-M 'C 1 2/m 1'
_symmetry_Int_Tables_number 12
_cell_length_a 5.755
_cell_length_b 10.005
_cell_length_c 2.970
_cell_angle_alpha 90.00
_cell_angle_beta 112.17
_cell_angle_gamma 90.00
loop_
_symmetry_equiv_pos_as_xyz
'x,y,z'
'-x,-y,-z'
'-x,y,-z'
'x,-y,z'
'x+1/2,y+1/2,z'
'-x+1/2,-y+1/2,-z'
'-x+1/2,y+1/2,-z'
'x+1/2,-y+1/2,z'
loop_
_atom_site_label
_atom_site_fract_x
_atom_site_fract_y
_atom_site_fract_z
Ba1 0.000 0.000 0.000
Sc1 0.000 0.500 0.000
Re1 0.250 0.250 0.500
```

* V: 19.8 Å³/atom
* DOS at the Fermi energy: 1.315 states/eV/atom

Quick ranking, most stable first: P, Q.

P.
Below is a relaxed BaScRe2 crystal, with properties calculated at the PBE level.

```
data_BaScRe2
_chemical_formula_sum 'Ba1 Sc1 Re2'
_symmetry_space_group_name_H-M 'P 4/m m m'
_symmetry_Int_Tables_number 123
_symmetry_space_group_name_Hall '-P 4 2'
_cell_length_a 2.875
_cell_length_b 2.875
_cell_length_c 10.097
_cell_angle_alpha 90.00
_cell_angle_beta 90.00
_cell_angle_gamma 90.00
loop_
_atom_site_label
_atom_site_fract_x
_atom_site_fract_y
_atom_site_fract_z
Ba1 0.000 0.000 0.000
Sc1 0.000 0.000 0.500
Re1 0.500 0.500 0.285
```

* V: 20.9 Å³/atom
* DOS at the Fermi energy: 1.381 states/eV/atom

Q.
Below is a relaxed BaScRe2 crystal, with properties calculated at the PBE level.

```
data_BaScRe2
_chemical_formula_sum 'Ba2 Sc2 Re4'
_symmetry_space_group_name_H-M 'I m m 2'
_symmetry_Int_Tables_number 44
_cell_length_a 3.794
_cell_length_b 4.752
_cell_length_c 12.533
_cell_angle_alpha 90.00
_cell_angle_beta 90.00
_cell_angle_gamma 90.00
loop_
_symmetry_equiv_pos_as_xyz
'x,y,z'
'-x,-y,z'
'-x,y,z'
'x,-y,z'
'x+1/2,y+1/2,z+1/2'
'-x+1/2,-y+1/2,z+1/2'
'-x+1/2,y+1/2,z+1/2'
'x+1/2,-y+1/2,z+1/2'
loop_
_atom_site_label
_atom_site_fract_x
_atom_site_fract_y
_atom_site_fract_z
Ba1 0.000 0.000 0.000
Sc1 0.000 0.500 0.243
Re1 0.000 0.000 0.359
Re2 0.000 0.500 0.748
```

* V: 28.2 Å³/atom
* DOS at the Fermi energy: 0.684 states/eV/atom

R.
Below is a relaxed BaScRe2 crystal, with properties calculated at the PBE level.

```
data_BaScRe2
_chemical_formula_sum 'Ba1 Sc1 Re2'
_symmetry_space_group_name_H-M 'P m m m'
_symmetry_Int_Tables_number 47
_cell_length_a 3.230
_cell_length_b 4.698
_cell_length_c 5.224
_cell_angle_alpha 90.00
_cell_angle_beta 90.00
_cell_angle_gamma 90.00
loop_
_symmetry_equiv_pos_as_xyz
'x,y,z'
'-x,-y,-z'
'-x,-y,z'
'x,y,-z'
'x,-y,-z'
'-x,y,z'
'-x,y,-z'
'x,-y,z'
loop_
_atom_site_label
_atom_site_fract_x
_atom_site_fract_y
_atom_site_fract_z
Ba1 0.000 0.000 0.000
Sc1 0.500 0.500 0.000
Re1 0.000 0.500 0.500
Re2 0.500 0.000 0.500
```

* V: 19.8 Å³/atom
* DOS at the Fermi energy: 1.426 states/eV/atom

Quick ranking, most stable first: Q, P, R.

P.
Below is a relaxed BaScRe2 crystal, with properties calculated at the PBE level.

```
data_BaScRe2
_chemical_formula_sum 'Ba3 Sc3 Re6'
_symmetry_space_group_name_H-M 'R 3 m'
_symmetry_Int_Tables_number 160
_symmetry_space_group_name_Hall 'R 3 -2"'
_cell_length_a 3.1369
_cell_length_b 3.1369
_cell_length_c 31.5373
_cell_angle_alpha 90.00
_cell_angle_beta 90.00
_cell_angle_gamma 120.00
loop_
_atom_site_label
_atom_site_fract_x
_atom_site_fract_y
_atom_site_fract_z
Ba1 0.0000 0.0000 0.0000
Sc1 0.0000 0.0000 0.7784
Re1 0.0000 0.0000 0.2387
Re2 0.0000 0.0000 0.5149
```

* V: 22.4 Å³/atom
* DOS at the Fermi energy: 1.020 states/eV/atom

Q.
Below is a relaxed BaScRe2 crystal, with properties calculated at the PBE level.

```
data_BaScRe2
_chemical_formula_sum 'Ba2 Sc2 Re4'
_symmetry_space_group_name_H-M 'C m m m'
_symmetry_Int_Tables_number 65
_symmetry_space_group_name_Hall '-C 2 2'
_cell_length_a 5.505
_cell_length_b 10.369
_cell_length_c 2.893
_cell_angle_alpha 90.00
_cell_angle_beta 90.00
_cell_angle_gamma 90.00
loop_
_atom_site_label
_atom_site_fract_x
_atom_site_fract_y
_atom_site_fract_z
Ba1 0.000 0.000 0.000
Sc1 0.000 0.500 0.000
Re1 0.250 0.250 0.500
```

* V: 20.6 Å³/atom
* DOS at the Fermi energy: 1.259 states/eV/atom

R.
Below is a relaxed BaScRe2 crystal, with properties calculated at the PBE level.

```
data_BaScRe2
_chemical_formula_sum 'Ba2 Sc2 Re4'
_symmetry_space_group_name_H-M 'C 1 2/m 1'
_symmetry_Int_Tables_number 12
_cell_length_a 9.755
_cell_length_b 3.783
_cell_length_c 6.486
_cell_angle_alpha 90.00
_cell_angle_beta 106.87
_cell_angle_gamma 90.00
loop_
_symmetry_equiv_pos_as_xyz
'x,y,z'
'-x,-y,-z'
'-x,y,-z'
'x,-y,z'
'x+1/2,y+1/2,z'
'-x+1/2,-y+1/2,-z'
'-x+1/2,y+1/2,-z'
'x+1/2,-y+1/2,z'
loop_
_atom_site_label
_atom_site_fract_x
_atom_site_fract_y
_atom_site_fract_z
Ba1 0.000 0.000 0.000
Sc1 0.000 0.500 0.500
Re1 0.249 0.500 0.389
```

* V: 28.6 Å³/atom
* DOS at the Fermi energy: 0.877 states/eV/atom

S.
Below is a relaxed BaScRe2 crystal, with properties calculated at the PBE level.

```
data_BaScRe2
_chemical_formula_sum 'Ba1 Sc1 Re2'
_symmetry_space_group_name_H-M 'P 4/m m m'
_symmetry_Int_Tables_number 123
_symmetry_space_group_name_Hall '-P 4 2'
_cell_length_a 4.872
_cell_length_b 4.872
_cell_length_c 3.417
_cell_angle_alpha 90.00
_cell_angle_beta 90.00
_cell_angle_gamma 90.00
loop_
_atom_site_label
_atom_site_fract_x
_atom_site_fract_y
_atom_site_fract_z
Ba1 0.000 0.000 0.000
Sc1 0.500 0.500 0.000
Re1 0.000 0.500 0.500
```

* V: 20.3 Å³/atom
* DOS at the Fermi energy: 1.270 states/eV/atom

Quick ranking, most stable first: R, P, Q, S.

P.
Below is a relaxed BaScRe2 crystal, with properties calculated at the PBE level.

```
data_BaScRe2
_chemical_formula_sum 'Ba1 Sc1 Re2'
_symmetry_space_group_name_H-M 'P 1 2/m 1'
_symmetry_Int_Tables_number 10
_cell_length_a 3.098
_cell_length_b 4.412
_cell_length_c 7.058
_cell_angle_alpha 90.00
_cell_angle_beta 91.78
_cell_angle_gamma 90.00
loop_
_symmetry_equiv_pos_as_xyz
'x,y,z'
'-x,-y,-z'
'-x,y,-z'
'x,-y,z'
loop_
_atom_site_label
_atom_site_fract_x
_atom_site_fract_y
_atom_site_fract_z
Ba1 0.000 0.000 0.000
Sc1 0.000 0.000 0.500
Re1 0.485 0.500 0.339
```

* V: 24.1 Å³/atom
* DOS at the Fermi energy: 1.186 states/eV/atom

Q.
Below is a relaxed BaScRe2 crystal, with properties calculated at the PBE level.

```
data_BaScRe2
_chemical_formula_sum 'Ba2 Sc2 Re4'
_symmetry_space_group_name_H-M 'C m m m'
_symmetry_Int_Tables_number 65
_symmetry_space_group_name_Hall '-C 2 2'
_cell_length_a 3.428
_cell_length_b 4.701
_cell_length_c 10.099
_cell_angle_alpha 90.00
_cell_angle_beta 90.00
_cell_angle_gamma 90.00
loop_
_atom_site_label
_atom_site_fract_x
_atom_site_fract_y
_atom_site_fract_z
Ba1 0.000 0.000 0.000
Sc1 0.000 0.000 0.500
Re1 0.000 0.500 0.283
```

* V: 20.3 Å³/atom
* DOS at the Fermi energy: 1.007 states/eV/atom

Quick ranking, most stable first: P, Q.

P.
Below is a relaxed BaScRe2 crystal, with properties calculated at the PBE level.

```
data_BaScRe2
_chemical_formula_sum 'Ba1 Sc1 Re2'
_symmetry_space_group_name_H-M 'P 4/m m m'
_symmetry_Int_Tables_number 123
_symmetry_space_group_name_Hall '-P 4 2'
_cell_length_a 3.687
_cell_length_b 3.687
_cell_length_c 7.226
_cell_angle_alpha 90.00
_cell_angle_beta 90.00
_cell_angle_gamma 90.00
loop_
_atom_site_label
_atom_site_fract_x
_atom_site_fract_y
_atom_site_fract_z
Ba1 0.000 0.000 0.000
Sc1 0.000 0.000 0.500
Re1 0.500 0.500 0.342
```

* V: 24.6 Å³/atom
* DOS at the Fermi energy: 0.895 states/eV/atom

Q.
Below is a relaxed BaScRe2 crystal, with properties calculated at the PBE level.

```
data_BaScRe2
_chemical_formula_sum 'Ba4 Sc4 Re8'
_symmetry_space_group_name_H-M 'F m -3 m'
_symmetry_Int_Tables_number 225
_symmetry_space_group_name_Hall '-F 4 2 3'
_cell_length_a 6.900
_cell_length_b 6.900
_cell_length_c 6.900
_cell_angle_alpha 90.00
_cell_angle_beta 90.00
_cell_angle_gamma 90.00
loop_
_atom_site_label
_atom_site_fract_x
_atom_site_fract_y
_atom_site_fract_z
Ba1 0.000 0.000 0.000
Sc1 0.000 0.000 0.500
Re1 0.250 0.250 0.250
```

* V: 20.5 Å³/atom
* DOS at the Fermi energy: 1.241 states/eV/atom

Quick ranking, most stable first: P, Q.

P.
Below is a relaxed BaScRe2 crystal, with properties calculated at the PBE level.

```
data_BaScRe2
_chemical_formula_sum 'Ba3 Sc3 Re6'
_symmetry_space_group_name_H-M 'R -3 m'
_symmetry_Int_Tables_number 166
_symmetry_space_group_name_Hall '-R 3 2"'
_cell_length_a 3.0442
_cell_length_b 3.0442
_cell_length_c 30.7447
_cell_angle_alpha 90.00
_cell_angle_beta 90.00
_cell_angle_gamma 120.00
loop_
_atom_site_label
_atom_site_fract_x
_atom_site_fract_y
_atom_site_fract_z
Ba1 0.0000 0.0000 0.0000
Sc1 0.0000 0.0000 0.5000
Re1 0.0000 0.0000 0.2383
```

* V: 20.6 Å³/atom
* DOS at the Fermi energy: 1.062 states/eV/atom

Q.
Below is a relaxed BaScRe2 crystal, with properties calculated at the PBE level.

```
data_BaScRe2
_chemical_formula_sum 'Ba4 Sc4 Re8'
_symmetry_space_group_name_H-M 'F -4 3 m'
_symmetry_Int_Tables_number 216
_symmetry_space_group_name_Hall 'F -4 2 3'
_cell_length_a 6.856
_cell_length_b 6.856
_cell_length_c 6.856
_cell_angle_alpha 90.00
_cell_angle_beta 90.00
_cell_angle_gamma 90.00
loop_
_atom_site_label
_atom_site_fract_x
_atom_site_fract_y
_atom_site_fract_z
Ba1 0.000 0.000 0.000
Sc1 0.250 0.250 0.250
Re1 0.000 0.000 0.500
Re2 0.250 0.250 0.750
```

* V: 20.1 Å³/atom
* DOS at the Fermi energy: 1.319 states/eV/atom

Quick ranking, most stable first: P, Q.